# 1
The following is a PBE-GGA calculation of a relaxed Tb2SmEr6 crystal, from Alexandria via LeMat-Bulk.

Unit cell a=14.782 b=14.782 c=3.441 alpha=90.07 beta=90.07 gamma=21.82
Sites, in units of the cell vectors:
Tb (0.167, 0.167, 0.001)
Tb (0.833, 0.833, 0.999)
Sm (0.500, 0.500, 0.000)
Er (0.056, 0.056, 0.501)
Er (0.277, 0.277, 0.500)
Er (0.388, 0.388, 0.499)
Er (0.612, 0.612, 0.501)
Er (0.723, 0.723, 0.500)
Er (0.944, 0.944, 0.499)

Summary:
- E_form (meV/atom) = 74
- spin magnetization (μB per formula unit) = 0.00
- total energy (eV per atom) = -4.5212
- offset from the most stable computed form (eV per atom) = 0.053

=====

# 2
The following is a PBE-GGA calculation of a relaxed LiBiSb2 crystal, from Alexandria via LeMat-Bulk.

Unit cell a=8.052 b=8.052 c=8.052 alpha=132.10 beta=132.10 gamma=70.08
Sites, in units of the cell vectors:
Li (0.000, 0.000, 0.000)
Li (0.750, 0.250, 0.500)
Bi (0.250, 0.750, 0.500)
Bi (0.500, 0.500, 0.000)
Sb (0.093, 0.625, 0.968)
Sb (0.375, 0.343, 0.468)
Sb (0.657, 0.125, 0.032)
Sb (0.875, 0.907, 0.532)

Summary:
- spin magnetization (μB per formula unit) = 0.00
- total energy (eV per atom) = -3.4465
- ΔE_f (raw) (eV/atom) = 0.063

=====

# 3
The following is a PBE-GGA calculation of a relaxed PuGa3Ag crystal, from Alexandria via LeMat-Bulk.

Unit cell a=5.751 b=5.807 c=5.891 alpha=90.00 beta=92.52 gamma=90.00
Sites, in units of the cell vectors:
Pu (0.139, 0.250, 0.195)
Pu (0.861, 0.750, 0.805)
Ga (0.058, 0.750, 0.330)
Ga (0.340, 0.000, 0.651)
Ga (0.340, 0.500, 0.651)
Ga (0.660, 0.000, 0.349)
Ga (0.660, 0.500, 0.349)
Ga (0.942, 0.250, 0.670)
Ag (0.384, 0.750, 0.033)
Ag (0.616, 0.250, 0.967)

Summary:
- E_form (meV/atom) = -211
- spin magnetization (μB per formula unit) = 5.63
- total energy (eV per atom) = -5.4633

=====

Which of these has the highest spin magnetization? PuGa3Ag

=====

Look up the total energy of the first one. -4.5212 eV per atom